DFT (PBE) results for crystalline Tm6Mg2Pd at its relaxed geometry.

Computed properties:
- DFT formation energy (eV per atom) = -0.098
- raw total energy (eV per cell) = -72.18
- M_tot (μB/cell) = 0.00

Structure (CIF):
```
data_Tm6Mg2Pd
_chemical_formula_sum 'Tm12 Mg4 Pd2'
_cell_length_a 6.622
_cell_length_b 7.195
_cell_length_c 11.059
_cell_angle_alpha 90.00
_cell_angle_beta 107.40
_cell_angle_gamma 90.00
_space_group_name_H-M_alt 'P 1 21/c 1'
_space_group_IT_number 14
loop_
_space_group_symop_operation_xyz
'x,y,z'
'-x,-y,-z'
'-x,y+1/2,-z+1/2'
'x,-y+1/2,z+1/2'
loop_
_atom_site_label
_atom_site_type_symbol
_atom_site_fract_x
_atom_site_fract_y
_atom_site_fract_z
Tm1 Tm 0.090 0.032 0.248
Tm2 Tm 0.170 0.707 0.030
Tm3 Tm 0.318 0.161 0.999
Mg1 Mg 0.426 0.078 0.744
Pd1 Pd 0.500 0.000 0.500
```